[1]
20
Lattice="10.700 0.000 0.000 0.000 10.700 0.000 0.000 0.000 4.274" Properties=species:S:1:pos:R:3 comment="Li2Pm2Mg5Sc GGA-PBE relaxed" vol_a3_per_cell=489 dos_ef_per_ev_cell=18.05 delta_e_f_mev_per_atom=-30.6 sg="No. 127" m_tot_mub_per_fu=0.0 pbc="T T T"
Li 1.247 4.103 0.000
Li 4.103 9.453 0.000
Li 6.598 1.247 0.000
Li 9.453 6.598 0.000
Pm 1.938 7.288 0.000
Pm 3.412 1.938 0.000
Pm 7.288 8.762 0.000
Pm 8.762 3.412 0.000
Mg 0.000 5.350 2.137
Mg 0.614 2.217 2.137
Mg 2.217 10.086 2.137
Mg 3.133 4.736 2.137
Mg 4.736 7.567 2.137
Mg 5.350 0.000 2.137
Mg 5.964 3.133 2.137
Mg 7.567 5.964 2.137
Mg 8.484 0.614 2.137
Mg 10.086 8.484 2.137
Sc 0.000 0.000 0.000
Sc 5.350 5.350 0.000


[2]
12
Lattice="8.036 0.000 0.000 0.000 3.997 0.000 -2.202 0.000 8.523" Properties=species:S:1:pos:R:3 comment="LiPmMgSe3 GGA-PBE relaxed" vol_a3_per_cell=274 raw_formation_energy_ev_per_atom=-1.478 sg="No. 11" m_tot_mub_per_fu=0.0 pbc="T T T"
Li 0.559 0.999 0.797
Li 5.275 2.998 7.726
Pm -0.053 0.999 6.295
Pm 5.887 2.998 2.228
Mg 1.927 2.998 2.922
Mg 3.907 0.999 5.601
Se -0.055 0.999 3.179
Se 1.867 2.998 0.052
Se 2.024 2.998 5.601
Se 3.810 0.999 2.921
Se 3.967 0.999 8.471
Se 5.889 2.998 5.343


[3]
8
Lattice="7.036 0.000 0.000 0.000 4.074 0.000 -2.301 0.000 6.660" Properties=species:S:1:pos:R:3 comment="LiPm2MgSe4 GGA-PBE relaxed" vol_a3_per_cell=191 dos_ef_per_ev_cell=2.83 raw_formation_energy_ev_per_atom=-1.573 sg="No. 10" m_tot_mub_per_fu=0.0 pbc="T T T"
Li 0.000 0.000 0.000
Pm -1.151 2.037 3.330
Pm 2.367 0.000 3.330
Mg 3.518 2.037 0.000
Se 1.211 2.037 1.540
Se 0.036 0.000 5.149
Se 4.699 0.000 1.511
Se 3.524 2.037 5.120


[4]
16
Lattice="2.002 -6.622 0.000 2.002 6.622 0.000 0.000 0.000 13.311" Properties=species:S:1:pos:R:3 comment="LiPmMg2Se4 GGA-PBE relaxed" vol_a3_per_cell=353 raw_formation_energy_ev_per_atom=-1.414 sg="No. 63" m_tot_mub_per_fu=0.0 pbc="T T T"
Li 2.002 4.659 9.983
Li 2.002 -4.659 3.328
Pm 2.002 5.016 3.328
Pm 2.002 -5.016 9.983
Mg 2.002 1.660 0.763
Mg 2.002 1.660 5.892
Mg 2.002 -1.660 7.418
Mg 2.002 -1.660 12.548
Se 0.000 0.000 0.000
Se 0.000 0.000 6.655
Se 2.002 2.979 8.193
Se 2.002 2.979 11.773
Se 2.002 0.579 3.328
Se 2.002 -0.579 9.983
Se 2.002 -2.979 1.538
Se 2.002 -2.979 5.117


[5]
4
Lattice="0.000 3.432 3.432 3.432 0.000 3.432 3.432 3.432 0.000" Properties=species:S:1:pos:R:3 comment="LiPmMgSi GGA-PBE relaxed" vol_a3_per_cell=81 dos_ef_per_ev_cell=1.23 raw_formation_energy_ev_per_atom=-0.252 sg="No. 216" m_tot_mub_per_fu=0.0 pbc="T T T"
Li 0.000 0.000 0.000
Pm 1.716 1.716 1.716
Mg 5.147 5.147 5.147
Si 3.432 3.432 3.432


[6]
5
Lattice="-2.085 2.085 5.684 2.085 -2.085 5.684 2.085 2.085 -5.684" Properties=species:S:1:pos:R:3 comment="LiPmMgSi2 GGA-PBE relaxed" vol_a3_per_cell=99 dos_ef_per_ev_cell=2.97 raw_formation_energy_ev_per_atom=-0.453 sg="No. 119" m_tot_mub_per_fu=0.0 pbc="T T T"
Li 0.000 0.000 0.000
Pm 0.000 2.085 2.842
Mg 0.000 0.000 5.684
Si 2.085 0.000 1.668
Si 2.085 0.000 4.016